# 1
VASP calculation (PBE) on La2CeSm6Ho3 after structural relaxation.

Results
The calculation puts the total magnetization at 1.11 μB per formula unit. The calculation puts the total energy at -4.777 eV per atom. As for the energy relative to the elements: 0.04 eV/atom.

a = 6.2665 Å, b = 6.2665 Å, c = 11.9852 Å
α = 95.02°, β = 95.02°, γ = 120.05°
With the nearest neighbours (Å) after each atom.
Positions (direct):
Sm 0.5856 0.9157 0.7461  3 Ho 3.57-3.59, 6 Sm 3.58-3.64, 1 Ce 3.64, 2 La 3.66
Sm 0.9157 0.5856 0.7461  3 Ho 3.57-3.59, 6 Sm 3.58-3.64, 1 Ce 3.64, 2 La 3.66
Sm 0.4144 0.0843 0.2539  3 Ho 3.57-3.59, 6 Sm 3.58-3.64, 1 Ce 3.64, 2 La 3.66
Sm 0.7541 0.7541 0.2541  3 Ho 3.57-3.59, 6 Sm 3.58-3.64, 1 Ce 3.65, 2 La 3.66
Sm 0.0843 0.4144 0.2539  3 Ho 3.57-3.59, 6 Sm 3.58-3.64, 1 Ce 3.64, 2 La 3.66
Sm 0.2459 0.2459 0.7459  3 Ho 3.57-3.59, 6 Sm 3.58-3.64, 1 Ce 3.65, 2 La 3.66
La 0.6663 0.3337 0.0000  3 La 3.61-3.62, 3 Ce 3.61-3.62, 6 Sm 3.66
La 0.3337 0.6663 0.0000  3 La 3.61-3.62, 3 Ce 3.61-3.62, 6 Sm 3.66
Ho 0.5000 0.5000 0.5000  6 Sm 3.57-3.59, 6 Ho 3.62
Ho 0.1666 0.8334 0.5000  6 Sm 3.57-3.59, 6 Ho 3.62
Ho 0.8334 0.1666 0.5000  6 Sm 3.57-3.59, 6 Ho 3.62
Ce 0.0000 0.0000 0.0000  6 La 3.61-3.62, 6 Sm 3.64-3.65

# 2
VASP calculation (PBE) on PmScMnSi2 after structural relaxation.

Results
The calculation puts the total magnetization at 2.38 μB per formula unit. The calculation puts the total energy at -6.793 eV per atom. The value obtained for the raw formation energy is -0.57 eV per atom.

a = 4.1315 Å, b = 4.1315 Å, c = 6.3520 Å
α = 108.98°, β = 108.98°, γ = 90.00°
With the nearest neighbours (Å) after each atom.
Positions (direct):
Mn 0.7500 0.2500 0.5000  4 Si 2.62, 4 Sc 2.92
Sc 0.2500 0.7500 0.5000  4 Si 2.62, 4 Mn 2.92
Pm 0.0000 0.0000 0.0000  8 Si 3.16, 4 Mn 3.50, 4 Sc 3.50
Si 0.3932 0.3932 0.7863  1 Si 2.41, 2 Mn 2.62, 2 Sc 2.62
Si 0.6068 0.6068 0.2137  1 Si 2.41, 2 Mn 2.62, 2 Sc 2.62

# 3
VASP calculation (PBE) on Sc2ZnCd after structural relaxation.

Results
The calculation puts the total magnetization at 0.83 μB per formula unit. The calculation puts the total energy at -3.917 eV per atom. As for the energy relative to the elements: -0.20 eV/atom.

a = 5.8728 Å, b = 5.8728 Å, c = 4.8938 Å
α = 65.13°, β = 65.13°, γ = 33.36°
With the nearest neighbours (Å) after each atom.
Positions (direct):
Cd 0.2247 0.2247 0.2764  2 Zn 2.76, 4 Sc 3.01
Sc 0.9954 0.9954 0.0044  4 Zn 2.97-2.98, 2 Cd 3.21, 2 Sc 3.26
Sc 0.7711 0.7711 0.7295  2 Zn 2.94, 4 Cd 3.01, 2 Sc 3.26
Zn 0.5089 0.5089 0.4897  2 Cd 2.76, 6 Sc 2.94-2.98

# 4
VASP calculation (PBE) on HfCrSn3 after structural relaxation.

Results
The calculation puts the total magnetization at 4.85 μB per formula unit. The calculation puts the total energy at -5.551 eV per atom. For the energy above the most stable polymorph in this dataset, the calculation gives 112 meV per atom. As for the energy relative to the elements: 0.77 eV/atom.

a = 5.5009 Å, b = 5.5009 Å, c = 5.5009 Å
α = 90.00°, β = 90.00°, γ = 90.00°
With the nearest neighbours (Å) after each atom.
Positions (direct):
Cr 0.5000 0.5000 0.5000  12 Sn 3.89
Sn 0.0000 0.5000 0.0000  2 Hf 2.75
Sn 0.5000 0.0000 0.0000  2 Hf 2.75
Sn 0.0000 0.0000 0.5000  2 Hf 2.75
Hf 0.0000 0.0000 0.0000  6 Sn 2.75

# 5
VASP calculation (PBE) on TaAu2Se after structural relaxation.

Results
The calculation puts the total magnetization at 0.00 μB per formula unit. The calculation puts the total energy at -5.169 eV per atom. The value obtained for the raw formation energy is 0.30 eV per atom.

a = 4.8457 Å, b = 3.9002 Å, c = 3.9002 Å
α = 90.00°, β = 90.00°, γ = 90.00°
With the nearest neighbours (Å) after each atom.
Positions (direct):
Se 0.5000 0.5000 0.0000  4 Ta 2.76
Ta 0.5000 0.0000 0.5000  4 Se 2.76
Au 0.0000 0.5000 0.5000  4 Au 2.76
Au 0.0000 0.0000 0.0000  4 Au 2.76

# 6
VASP calculation (PBE) on NaCa2Sb after structural relaxation.

Results
The calculation puts the total magnetization at 0.00 μB per formula unit. The calculation puts the total energy at -2.912 eV per atom. The value obtained for the raw formation energy is -0.55 eV per atom.

a = 4.5044 Å, b = 5.1713 Å, c = 5.1713 Å
α = 90.00°, β = 90.00°, γ = 90.00°
With the nearest neighbours (Å) after each atom.
Positions (direct):
Ca 0.0000 0.0000 0.5000  4 Na 3.43, 4 Sb 3.43, 4 Ca 3.66
Ca 0.0000 0.5000 0.0000  4 Na 3.43, 4 Sb 3.43, 4 Ca 3.66
Na 0.5000 0.0000 0.0000  8 Ca 3.43, 4 Sb 3.66
Sb 0.5000 0.5000 0.5000  8 Ca 3.43, 4 Na 3.66

# 7
VASP calculation (PBE) on TaIr3Rh after structural relaxation.

Results
The calculation puts the total magnetization at 1.92 μB per formula unit. The calculation puts the total energy at -7.427 eV per atom. For the energy above the most stable polymorph in this dataset, the calculation gives 943 meV per atom. As for the energy relative to the elements: 1.73 eV/atom.

a = 4.7308 Å, b = 4.7308 Å, c = 4.7308 Å
α = 90.00°, β = 90.00°, γ = 90.00°
With the nearest neighbours (Å) after each atom.
Positions (direct):
Ir 0.0000 0.5000 0.0000  2 Ta 2.37
Ir 0.0000 0.0000 0.5000  2 Ta 2.37
Ir 0.5000 0.0000 0.0000  2 Ta 2.37
Ta 0.0000 0.0000 0.0000  6 Ir 2.37
Rh 0.5000 0.5000 0.5000  12 Ir 3.35

# 8
VASP calculation (PBE) on NaCeOsO6 after structural relaxation.

Results
The calculation puts the total magnetization at 0.97 μB per formula unit. The calculation puts the total energy at -7.204 eV per atom. The value obtained for the raw formation energy is -1.84 eV per atom.

a = 5.6187 Å, b = 5.6187 Å, c = 9.7392 Å
α = 90.00°, β = 90.00°, γ = 120.00°
With the nearest neighbours (Å) after each atom.
Positions (direct):
O 0.6537 0.0451 0.3587  1 Os 1.91
O 0.0451 0.3914 0.6413  1 Os 1.91
O 0.3463 0.9549 0.6413  1 Os 1.91
O 0.3463 0.3914 0.8587  1 Os 1.91
O 0.6537 0.6086 0.1413  1 Os 1.91
O 0.0451 0.6537 0.8587  1 Os 1.91
O 0.6086 0.6537 0.6413  1 Os 1.91
O 0.9549 0.3463 0.1413  1 Os 1.91
O 0.3914 0.3463 0.3587  1 Os 1.91
O 0.6086 0.9549 0.8587  1 Os 1.91
O 0.3914 0.0451 0.1413  1 Os 1.91
O 0.9549 0.6086 0.3587  1 Os 1.91
Ce 0.3333 0.6667 0.2500  6 O 2.25
Ce 0.6667 0.3333 0.7500  6 O 2.25
Na 0.0000 0.0000 0.0000  6 O 2.50
Na 0.0000 0.0000 0.5000  6 O 2.50
Os 0.6667 0.3333 0.2500  6 O 1.91
Os 0.3333 0.6667 0.7500  6 O 1.91

# 9
VASP calculation (PBE) on Ca2TbNpSb4 after structural relaxation.

Results
The calculation puts the total magnetization at 2.60 μB per formula unit. The calculation puts the total energy at -5.507 eV per atom. The value obtained for the raw formation energy is -0.75 eV per atom.

a = 4.4890 Å, b = 7.6880 Å, c = 7.7394 Å
α = 109.61°, β = 90.00°, γ = 90.00°
With the nearest neighbours (Å) after each atom.
Positions (direct):
Ca 0.0000 0.5000 0.5000  6 Sb 3.24-3.25
Ca 0.5000 0.0000 0.5000  6 Sb 3.20
Sb 0.5000 0.2405 0.2338  2 Np 3.08, 1 Tb 3.11, 3 Ca 3.20-3.24
Sb 0.0000 0.7512 0.2359  1 Np 3.06, 2 Tb 3.12, 3 Ca 3.20-3.25
Sb 0.5000 0.7595 0.7662  2 Np 3.08, 1 Tb 3.11, 3 Ca 3.20-3.24
Sb 0.0000 0.2488 0.7641  1 Np 3.06, 2 Tb 3.12, 3 Ca 3.20-3.25
Tb 0.5000 0.5000 0.0000  6 Sb 3.11-3.12
Np 0.0000 0.0000 0.0000  6 Sb 3.06-3.08

# 10
VASP calculation (PBE) on ScMnHg3 after structural relaxation.

Results
The calculation puts the total magnetization at 2.43 μB per formula unit. The calculation puts the total energy at -2.841 eV per atom. For the energy above the most stable polymorph in this dataset, the calculation gives 0 meV per atom. As for the energy relative to the elements: 0.44 eV/atom.

a = 5.0374 Å, b = 5.0374 Å, c = 5.0374 Å
α = 90.00°, β = 90.00°, γ = 90.00°
With the nearest neighbours (Å) after each atom.
Positions (direct):
Hg 0.5000 0.0000 0.0000  2 Mn 2.52
Hg 0.0000 0.5000 0.0000  2 Mn 2.52
Hg 0.0000 0.0000 0.5000  2 Mn 2.52
Sc 0.5000 0.5000 0.5000  12 Hg 3.56
Mn 0.0000 0.0000 0.0000  6 Hg 2.52

# 11
VASP calculation (PBE) on Tb2SmAl after structural relaxation.

Results
The calculation puts the total magnetization at 0.00 μB per formula unit. The calculation puts the total energy at -4.623 eV per atom. For the energy above the most stable polymorph in this dataset, the calculation gives 0 meV per atom. As for the energy relative to the elements: -0.19 eV/atom.

a = 5.3077 Å, b = 6.9244 Å, c = 6.9244 Å
α = 119.95°, β = 90.00°, γ = 90.00°
With the nearest neighbours (Å) after each atom.
Positions (direct):
Al 0.5000 0.6672 0.3328  8 Tb 3.25-3.47, 4 Sm 3.46-3.47
Al 0.0000 0.3312 0.6688  8 Tb 3.24-3.50, 4 Sm 3.26
Sm 0.5000 0.6467 0.8233  1 Sm 3.26, 5 Tb 3.26-3.40, 4 Al 3.26-3.47
Sm 0.5000 0.1767 0.3533  1 Sm 3.26, 5 Tb 3.26-3.40, 4 Al 3.26-3.47
Tb 0.0000 0.8249 0.6471  4 Al 3.26-3.50, 4 Tb 3.26-3.39, 2 Sm 3.40
Tb 0.0000 0.8243 0.1757  4 Al 3.25-3.47, 2 Tb 3.26, 4 Sm 3.39
Tb 0.5000 0.1764 0.8236  4 Al 3.24-3.47, 2 Sm 3.26, 4 Tb 3.39
Tb 0.0000 0.3529 0.1751  4 Al 3.26-3.50, 4 Tb 3.26-3.39, 2 Sm 3.40

# 12
VASP calculation (PBE) on ScSnBPd2 after structural relaxation.

Results
The calculation puts the total magnetization at 0.00 μB per formula unit. The calculation puts the total energy at -4.729 eV per atom. As for the energy relative to the elements: 0.75 eV/atom.

a = 4.8627 Å, b = 4.4478 Å, c = 4.8627 Å
α = 90.00°, β = 90.00°, γ = 90.00°
With the nearest neighbours (Å) after each atom.
Positions (direct):
Sn 0.5000 0.5000 0.5000  8 Pd 3.30, 4 B 3.44
Pd 0.0000 0.0000 0.5000  2 Sc 2.43
Pd 0.5000 0.0000 0.0000  2 Sc 2.43
Sc 0.0000 0.0000 0.0000  2 B 2.22, 4 Pd 2.43
B 0.0000 0.5000 0.0000  2 Sc 2.22